# 1
BeTl | GGA-PBE | relaxed

```
BeTl
1.0
3.485 0.000 0.000
-1.742 3.018 0.000
0.000 0.000 7.829
Be Tl
2 2
Cartesian
0.000 2.012 0.481 Be
1.742 1.006 7.347 Be
0.000 2.012 5.370 Tl
1.742 1.006 2.459 Tl
```

Output
The energy of formation from the pure elements comes out at 0.6509 eV per atom. The value obtained for the total energy is -2.395 eV per atom.

# 2
Be2Tl | GGA-PBE | relaxed

```
Be2Tl
1.0
-2.007 2.007 5.879
2.007 -2.007 5.879
2.007 2.007 -5.879
Be Tl
4 2
Cartesian
2.007 1.004 0.355 Be
2.007 1.004 2.584 Be
0.000 1.004 3.295 Be
0.000 1.004 5.524 Be
2.007 -1.004 4.409 Tl
0.000 3.011 1.470 Tl
```

Output
The energy of formation from the pure elements comes out at 0.7214 eV per atom. The value obtained for the total energy is -2.552 eV per atom.

# 3
Be2Tl | GGA-PBE | relaxed

```
Be2Tl
1.0
3.882 0.000 0.000
-1.941 3.362 0.000
0.000 0.000 3.565
Be Tl
2 1
Cartesian
0.000 2.241 0.000 Be
1.941 1.121 0.000 Be
0.000 0.000 1.783 Tl
```

Output
The energy of formation from the pure elements comes out at 0.7194 eV per atom. The value obtained for the total energy is -2.553 eV per atom.

Q: Look up the energy of formation from the pure elements of the first one.
A: 0.6509 eV per atom